A plane-wave DFT calculation with GGA-PBE was carried out for crystalline CuH36C8N10O8 at its relaxed geometry.

a b c (Å): 23.744 6.997 13.171
angles (deg): 90.00 104.16 90.00
Space group C2/c (No. 15)
Asymmetric unit:
Cu: 0.000 0.190 0.250 (multiplicity 4)
H: 0.016 0.393 0.672 (multiplicity 8)
H: 0.035 0.197 0.451 (multiplicity 8)
H: 0.036 0.163 0.635 (multiplicity 8)
H: 0.047 0.373 0.564 (multiplicity 8)
H: 0.080 0.188 0.844 (multiplicity 8)
H: 0.086 0.439 0.870 (multiplicity 8)
H: 0.106 0.155 0.364 (multiplicity 8)
H: 0.129 0.274 0.959 (multiplicity 8)
H: 0.136 0.012 0.055 (multiplicity 8)
H: 0.148 0.440 0.106 (multiplicity 8)
H: 0.151 0.213 0.553 (multiplicity 8)
H: 0.193 0.201 0.343 (multiplicity 8)
H: 0.195 0.330 0.727 (multiplicity 8)
H: 0.196 0.466 0.554 (multiplicity 8)
H: 0.199 0.132 0.789 (multiplicity 8)
H: 0.206 0.196 0.223 (multiplicity 8)
H: 0.221 0.428 0.903 (multiplicity 8)
H: 0.227 0.048 0.529 (multiplicity 8)
C: 0.018 0.302 0.605 (multiplicity 8)
C: 0.049 0.231 0.064 (multiplicity 8)
C: 0.087 0.297 0.906 (multiplicity 8)
C: 0.120 0.187 0.225 (multiplicity 8)
N: 0.004 0.195 0.104 (multiplicity 8)
N: 0.041 0.285 0.961 (multiplicity 8)
N: 0.084 0.184 0.288 (multiplicity 8)
N: 0.106 0.219 0.120 (multiplicity 8)
N: 0.179 0.152 0.268 (multiplicity 8)
O: 0.150 0.090 0.514 (multiplicity 8)
O: 0.171 0.441 0.604 (multiplicity 8)
O: 0.211 0.267 0.796 (multiplicity 8)
O: 0.230 0.468 0.455 (multiplicity 8)

Uncorrected energy, eV per cell: -1408.597